Material: SiNiW
Method: DFT, PBE
State: optimized geometry

Structure (CIF):
```
data_SiNiW
_space_group_name_H-M_alt 'P 3 m 1'
_space_group_IT_number 156
_space_group_name_Hall 'P 3 -2"'
_cell_length_a 2.7454
_cell_length_b 2.7454
_cell_length_c 6.1646
_cell_angle_alpha 90.00
_cell_angle_beta 90.00
_cell_angle_gamma 120.00
loop_
_atom_site_label
_atom_site_type_symbol
_atom_site_fract_x
_atom_site_fract_y
_atom_site_fract_z
_atom_site_occupancy
Si1 Si 0.0000 0.0000 0.0000 1
Ni1 Ni 0.3333 0.6667 0.7082 1
W1 W 0.6667 0.3333 0.3557 1
```

Calculated values
D(E_F)	0.56	states/eV/atom
electronic total energy	-8.08	eV/atom



Material: AcCd10Pb
Method: DFT, PBE
State: optimized geometry

Structure (CIF):
```
data_AcCd10Pb
_space_group_name_H-M_alt 'P m m m'
_space_group_IT_number 47
_space_group_name_Hall '-P 2 2'
_cell_length_a 4.8932
_cell_length_b 6.0553
_cell_length_c 10.3880
_cell_angle_alpha 90.00
_cell_angle_beta 90.00
_cell_angle_gamma 90.00
loop_
_atom_site_label
_atom_site_type_symbol
_atom_site_fract_x
_atom_site_fract_y
_atom_site_fract_z
_atom_site_occupancy
Ac1 Ac 0.0000 0.0000 0.0000 1
Cd1 Cd 0.0000 0.0000 0.3434 1
Cd2 Cd 0.0000 0.5000 0.1842 1
Cd3 Cd 0.5000 0.0000 0.5000 1
Cd4 Cd 0.5000 0.2406 0.2387 1
Cd5 Cd 0.5000 0.5000 0.0000 1
Pb1 Pb 0.0000 0.5000 0.5000 1
```

Calculated values
D(E_F)	0.32	states/eV/atom
energy of formation from the pure elements	-82	meV per atom



Material: Tb6Ag3Hg
Method: DFT, PBE
State: optimized geometry

Structure (CIF):
```
data_Tb6Ag3Hg
_space_group_name_H-M_alt 'P 1 21/m 1'
_space_group_IT_number 11
_space_group_name_Hall '-P 2yb'
_cell_length_a 9.2673
_cell_length_b 5.0099
_cell_length_c 12.0060
_cell_angle_alpha 90.00
_cell_angle_beta 106.10
_cell_angle_gamma 90.00
loop_
_atom_site_label
_atom_site_type_symbol
_atom_site_fract_x
_atom_site_fract_y
_atom_site_fract_z
_atom_site_occupancy
Tb1 Tb 0.0170 0.2500 0.1121 1
Tb2 Tb 0.1487 0.2500 0.7179 1
Tb3 Tb 0.2105 0.7500 0.5203 1
Tb4 Tb 0.3467 0.7500 0.1153 1
Tb5 Tb 0.3763 0.2500 0.3591 1
Tb6 Tb 0.3861 0.7500 0.8464 1
Ag1 Ag 0.0463 0.2500 0.3677 1
Ag2 Ag 0.1610 0.7500 0.2684 1
Ag3 Ag 0.2732 0.2500 0.9748 1
Hg1 Hg 0.4286 0.2500 0.6378 1
```

Calculated values
D(E_F)	0.83	states/eV/atom
energy of formation from the pure elements	-238	meV per atom



Material: Ca2CuSi
Method: DFT, PBE
State: optimized geometry

Structure (CIF):
```
data_Ca2CuSi
_space_group_name_H-M_alt 'P 1 21/m 1'
_space_group_IT_number 11
_space_group_name_Hall '-P 2yb'
_cell_length_a 5.7622
_cell_length_b 4.2790
_cell_length_c 8.3200
_cell_angle_alpha 90.00
_cell_angle_beta 108.51
_cell_angle_gamma 90.00
loop_
_atom_site_label
_atom_site_type_symbol
_atom_site_fract_x
_atom_site_fract_y
_atom_site_fract_z
_atom_site_occupancy
Ca1 Ca 0.2139 0.2500 0.4320 1
Ca2 Ca 0.2849 0.7500 0.0747 1
Cu1 Cu 0.3178 0.7500 0.7277 1
Si1 Si 0.1615 0.2500 0.7817 1
```

Calculated values
D(E_F)	0.65	states/eV/atom
electronic total energy	-3.72	eV/atom



Material: Na3CaMg
Method: DFT, PBE
State: optimized geometry

Structure (CIF):
```
data_Na3CaMg
_space_group_name_H-M_alt 'P m -3 m'
_space_group_IT_number 221
_space_group_name_Hall '-P 4 2 3'
_cell_length_a 6.4980
_cell_length_b 6.4980
_cell_length_c 6.4980
_cell_angle_alpha 90.00
_cell_angle_beta 90.00
_cell_angle_gamma 90.00
loop_
_atom_site_label
_atom_site_type_symbol
_atom_site_fract_x
_atom_site_fract_y
_atom_site_fract_z
_atom_site_occupancy
Na1 Na 0.0000 0.0000 0.5000 1
Ca1 Ca 0.0000 0.0000 0.0000 1
Mg1 Mg 0.5000 0.5000 0.5000 1
```

Calculated values
D(E_F)	0.87	states/eV/atom
energy of formation from the pure elements	671	meV per atom



Material: FeBiTe3
Method: DFT, PBE
State: optimized geometry

Structure (CIF):
```
data_FeBiTe3
_space_group_name_H-M_alt 'P m -3 m'
_space_group_IT_number 221
_space_group_name_Hall '-P 4 2 3'
_cell_length_a 5.0826
_cell_length_b 5.0826
_cell_length_c 5.0826
_cell_angle_alpha 90.00
_cell_angle_beta 90.00
_cell_angle_gamma 90.00
loop_
_atom_site_label
_atom_site_type_symbol
_atom_site_fract_x
_atom_site_fract_y
_atom_site_fract_z
_atom_site_occupancy
Fe1 Fe 0.0000 0.0000 0.0000 1
Bi1 Bi 0.5000 0.5000 0.5000 1
Te1 Te 0.0000 0.0000 0.5000 1
```

Calculated values
D(E_F)	1.87	states/eV/atom
electronic total energy	-4.00	eV/atom



Material: PuZrMoRu
Method: DFT, PBE
State: optimized geometry

Structure (CIF):
```
data_PuZrMoRu
_space_group_name_H-M_alt 'F -4 3 m'
_space_group_IT_number 216
_space_group_name_Hall 'F -4 2 3'
_cell_length_a 6.6746
_cell_length_b 6.6746
_cell_length_c 6.6746
_cell_angle_alpha 90.00
_cell_angle_beta 90.00
_cell_angle_gamma 90.00
loop_
_atom_site_label
_atom_site_type_symbol
_atom_site_fract_x
_atom_site_fract_y
_atom_site_fract_z
_atom_site_occupancy
Pu1 Pu 0.0000 0.0000 0.0000 1
Zr1 Zr 0.0000 0.0000 0.5000 1
Mo1 Mo 0.2500 0.2500 0.2500 1
Ru1 Ru 0.2500 0.2500 0.7500 1
```

Calculated values
D(E_F)	1.20	states/eV/atom
energy of formation from the pure elements	-95	meV per atom



Material: MgPW2
Method: DFT, PBE
State: optimized geometry

Structure (CIF):
```
data_MgPW2
_space_group_name_H-M_alt 'P 4 m m'
_space_group_IT_number 99
_space_group_name_Hall 'P 4 -2'
_cell_length_a 3.1564
_cell_length_b 3.1564
_cell_length_c 6.4618
_cell_angle_alpha 90.00
_cell_angle_beta 90.00
_cell_angle_gamma 90.00
loop_
_atom_site_label
_atom_site_type_symbol
_atom_site_fract_x
_atom_site_fract_y
_atom_site_fract_z
_atom_site_occupancy
Mg1 Mg 0.0000 0.0000 0.0000 1
P1 P 0.5000 0.5000 0.2786 1
W1 W 0.0000 0.0000 0.4664 1
W2 W 0.5000 0.5000 0.7115 1
```

Calculated values
D(E_F)	0.72	states/eV/atom
energy of formation from the pure elements	95	meV per atom